(1)
Pu3Ga7Rh4 | PBE | relaxed

a b c (Å): 4.2785 7.9698 8.4833
angles (deg): 68.18 75.39 74.43
Element x y z (fractional)
Pu 0.0000 0.5000 0.5000
Rh 0.8885 0.8788 0.3441
Pu 0.6907 0.8165 0.8021
Rh 0.3375 0.5418 0.7832
Ga 0.4960 0.2149 0.7931
Pu 0.3093 0.1835 0.1979
Ga 0.1554 0.6179 0.0713
Rh 0.6625 0.4582 0.2168
Ga 0.8446 0.3821 0.9287
Ga 0.5040 0.7851 0.2069
Ga 0.0000 0.0000 0.0000
Rh 0.1115 0.1212 0.6559
Ga 0.3162 0.8384 0.5293
Ga 0.6838 0.1616 0.4707

---

(2)
Pu3Ga2Rh3 | PBE | relaxed

a b c (Å): 4.2599 5.9273 13.4665
angles (deg): 90.00 90.00 111.06
Element x y z (fractional)
Rh 0.3944 0.7888 0.5535
Rh 0.3944 0.7888 0.9465
Pu 0.0674 0.1348 0.6138
Ga 0.2291 0.4582 0.4160
Rh 0.6056 0.2112 0.4465
Ga 0.7709 0.5418 0.9160
Pu 0.6608 0.3216 0.2500
Pu 0.9326 0.8652 0.1138
Pu 0.9326 0.8652 0.3862
Rh 0.6382 0.2763 0.7500
Ga 0.7709 0.5418 0.5840
Pu 0.3392 0.6784 0.7500
Pu 0.0674 0.1348 0.8862
Rh 0.3618 0.7237 0.2500
Rh 0.6056 0.2112 0.0535
Ga 0.2291 0.4582 0.0840

Computed properties:
ΔE to the lowest computed polymorph   0.0 kJ/mol of atoms

---

(3)
PuGa3Rh | PBE | relaxed

a b c (Å): 5.9034 5.3469 5.8508
angles (deg): 90.00 90.00 87.38
Element x y z (fractional)
Pu 0.3189 0.6397 0.2500
Ga 0.1750 0.1446 0.9793
Ga 0.8250 0.8554 0.4793
Ga 0.1485 0.6113 0.7500
Ga 0.8515 0.3887 0.2500
Ga 0.1750 0.1446 0.5207
Pu 0.6811 0.3603 0.7500
Ga 0.8250 0.8554 0.0207
Rh 0.5085 0.1217 0.2500
Rh 0.4915 0.8783 0.7500

---

Q: Which ΔE_f values were calculated for the entries above? A: -0.57 -0.52 -0.47, in eV per atom.